Entry 1:
First-principles (PBE) data for an optimized crystal structure of Nd9Sm2Dy, as listed in Alexandria.

a b c (Å): 5.1752 5.1752 15.5156
angles (deg): 90.00 90.00 90.00
Fractional positions:
Nd: 0.5000 0.0000 0.5000
Nd: 0.5000 0.0000 0.8345
Nd: 0.5000 0.5000 0.0000
Nd: 0.5000 0.5000 0.3326
Nd: 0.5000 0.0000 0.1655
Nd: 0.5000 0.5000 0.6674
Nd: 0.0000 0.5000 0.1655
Nd: 0.0000 0.5000 0.8345
Nd: 0.0000 0.5000 0.5000
Sm: 0.0000 0.0000 0.3325
Sm: 0.0000 0.0000 0.6675
Dy: 0.0000 0.0000 0.0000

Values from the calculation:
SG	No. 123
formation energy	1.41	kJ/mol of atoms
DOS(E_F)	20.03	states/eV/cell
VASP energy	-4.731	eV per atom
density	7.04	g/cm³

Entry 2:
First-principles (PBE) data for an optimized crystal structure of Nd7SmDy2, as listed in Alexandria.

a b c (Å): 3.5180 10.4627 10.4627
angles (deg): 109.01 90.00 90.00
Fractional positions:
Nd: 0.5000 0.1252 0.3855
Nd: 0.5000 0.5000 0.5000
Nd: 0.5000 0.8748 0.6145
Nd: 0.5000 0.6145 0.8748
Nd: 0.0000 0.6772 0.3228
Nd: 0.5000 0.3855 0.1252
Nd: 0.0000 0.3228 0.6772
Dy: 0.5000 0.1677 0.8323
Dy: 0.5000 0.8323 0.1677
Sm: 0.0000 0.0000 0.0000

Values from the calculation:
SG	No. 65
formation energy	36.09	kJ/mol of atoms
ΔE to the lowest computed polymorph	0	meV/atom
DOS(E_F)	15.31	states/eV/cell
VASP energy	-4.356	eV per atom
density	6.77	g/cm³

Entry 3:
First-principles (PBE) data for an optimized crystal structure of NdSm4Dy4, as listed in Alexandria.

a b c (Å): 9.5165 10.7920 10.7860
angles (deg): 86.85 104.55 145.02
Fractional positions:
Dy: 0.4714 0.8882 0.1377
Dy: 0.3054 0.2213 0.9725
Dy: 0.5840 0.3322 0.5848
Dy: 0.6946 0.7787 0.0275
Dy: 0.8612 0.4432 0.1929
Dy: 0.1388 0.5568 0.8071
Dy: 0.4160 0.6678 0.4152
Dy: 0.5286 0.1118 0.8623
Sm: 0.7500 0.0006 0.7508
Sm: 0.1943 0.7771 0.5284
Sm: 0.0264 0.1105 0.3598
Sm: 0.8057 0.2229 0.4716
Sm: 0.2500 0.9994 0.2492
Sm: 0.9182 0.6664 0.9174
Sm: 0.9736 0.8895 0.6402
Sm: 0.0819 0.3336 0.0826
Nd: 0.6385 0.5545 0.3044
Nd: 0.3615 0.4455 0.6956

Values from the calculation:
SG	No. 2
formation energy	1.47	kJ/mol of atoms
DOS(E_F)	24.80	states/eV/cell
VASP energy	-4.657	eV per atom
density	7.84	g/cm³

Entry 4:
First-principles (PBE) data for an optimized crystal structure of NdSm5Dy6, as listed in Alexandria.

a b c (Å): 10.2255 10.2255 5.8662
angles (deg): 106.68 106.68 124.79
Fractional positions:
Sm: 0.1537 0.8463 0.5000
Sm: 0.8463 0.1537 0.5000
Sm: 0.6531 0.3469 0.0000
Sm: 0.5000 0.5000 0.5000
Sm: 0.3469 0.6531 0.0000
Dy: 0.9305 0.5694 0.7501
Dy: 0.5694 0.9305 0.7501
Dy: 0.4306 0.0695 0.2499
Dy: 0.0695 0.4306 0.2499
Dy: 0.7501 0.7501 0.2499
Dy: 0.2499 0.2499 0.7501
Nd: 0.0000 0.0000 0.0000

Values from the calculation:
SG	No. 71
formation energy	10.31	kJ/mol of atoms
DOS(E_F)	20.23	states/eV/cell
VASP energy	-4.558	eV per atom
density	7.85	g/cm³